(1)
A geometry-optimized Ca4YTh3As8 structure. Source: Alexandria via LeMat-Bulk, functional PBE.

abc: 8.5475 8.4810 8.5476
angles: 120.27 120.00 90.00
Element x y z (fractional)
1 As 0.7541 0.2594 0.5083
2 Th 0.5000 0.5000 0.5000
3 As 0.7475 0.7424 0.4950
4 Ca 0.0000 0.0000 0.0000
5 Ca 0.5000 0.0000 0.0000
6 As 0.7542 0.2595 0.0052
7 As 0.2458 0.7405 0.9948
8 As 0.2459 0.7406 0.4917
9 Th 0.5000 0.5000 0.0000
10 Ca 0.5000 0.0000 0.5000
11 Th 0.0000 0.5000 0.5000
12 As 0.2525 0.2576 0.5050
13 Y 0.0000 0.5000 0.0000
14 As 0.2510 0.2595 0.0052
15 Ca 0.0000 0.0000 0.5000
16 As 0.7490 0.7405 0.9948

Values from the calculation:
formation energy	-1.317	eV/atom
space-group type	No. 166


(2)
A geometry-optimized AcGa2Pd3 structure. Source: Alexandria via LeMat-Bulk, functional PBE.

abc: 4.0677 5.7368 5.7369
angles: 120.00 90.00 90.00
Element x y z (fractional)
1 Ga 0.0000 0.6679 0.3334
2 Ac 0.0000 0.0012 0.0000
3 Pd 0.5000 0.5013 0.0000
4 Ga 0.0000 0.3345 0.6666
5 Pd 0.5000 0.5013 0.5000
6 Pd 0.5000 0.0013 0.5000

Values from the calculation:
formation energy	-0.803	eV/atom
space-group type	No. 191


(3)
A geometry-optimized La2TiPt structure. Source: Alexandria via LeMat-Bulk, functional PBE.

abc: 5.2423 5.2423 5.2423
angles: 60.00 60.00 60.00
Site moments in Bohr magnetons follow the coordinates.
Element x y z (fractional)
1 La 0.7500 0.7500 0.7500  0.21
2 Pt 0.5000 0.5000 0.5000  0.10
3 La 0.2500 0.2500 0.2500  0.21
4 Ti 0.0000 0.0000 0.0000  1.70

Values from the calculation:
formation energy	-0.207	eV/atom
space-group type	No. 225


(4)
A geometry-optimized ZnGaAg2 structure. Source: Alexandria via LeMat-Bulk, functional PBE.

abc: 2.8719 4.8998 4.8998
angles: 90.00 90.00 90.00
Element x y z (fractional)
1 Ga 0.5000 0.0000 0.0000
2 Ag 0.0000 0.0000 0.5000
3 Ag 0.0000 0.5000 0.0000
4 Zn 0.5000 0.5000 0.5000

Values from the calculation:
formation energy	0.036	eV/atom
space-group type	No. 123